1.
Below is a relaxed MnGaPSe crystal, with properties calculated at the PBE level.

a b c (Å): 2.7131 3.5960 7.8489
angles (deg): 90.00 90.75 90.00
Closest atoms and distances in Å follow each position.
Space group Pm (No. 6)
Inequivalent atoms, fractional coordinates:
1 Mn 0.0000 0.0000 0.0000 (multiplicity 1)  4 P 2.29, 2 Ga 2.50-2.51
2 Ga 0.4897 0.0000 0.7317 (multiplicity 1)  2 Se 2.48, 2 Mn 2.50-2.51, 2 Ga 2.71
3 P 0.5019 0.5000 0.0525 (multiplicity 1)  4 Mn 2.29
4 Se 0.4814 0.5000 0.5150 (multiplicity 1)  2 Ga 2.48, 2 Se 2.71

Computed properties:
Calculated volume   77 Å³ per cell
Calculated density   5.09 g/cm3
Energy relative to the elements, uncorrected   -0.145 eV per atom

=====

2.
Below is a relaxed MnGaPSe crystal, with properties calculated at the PBE level.

a b c (Å): 2.7789 4.2943 11.1353
angles (deg): 90.00 90.00 90.00
Closest atoms and distances in Å follow each position.
Space group Imm2 (No. 44)
Inequivalent atoms, fractional coordinates:
1 Mn 0.0000 0.0000 0.0000 (multiplicity 2)  2 P 2.19, 1 Se 2.44
2 Ga 0.0000 0.0000 0.4851 (multiplicity 2)  4 Mn 2.56, 2 Ga 2.78, 2 P 2.84
3 P 0.0000 0.5000 0.6521 (multiplicity 2)  2 Mn 2.19
4 Se 0.0000 0.0000 0.7807 (multiplicity 2)  1 Mn 2.44, 2 P 2.58

Computed properties:
Calculated volume   133 Å³ per cell
Calculated density   5.86 g/cm3
Energy relative to the elements, uncorrected   -0.058 eV per atom

=====

3.
Below is a relaxed MnGaPSe crystal, with properties calculated at the PBE level.

a b c (Å): 2.9372 3.9423 6.4724
angles (deg): 103.39 99.20 105.06
Closest atoms and distances in Å follow each position.
Space group P1 (No. 1)
Inequivalent atoms, fractional coordinates:
1 Mn 0.0000 0.0000 0.0000 (multiplicity 1)  3 P 2.14-2.24
2 Ga 0.6467 0.1018 0.3294 (multiplicity 1)  2 Mn 2.50-2.51, 2 Se 2.56-2.64, 1 P 2.70
3 P 0.6660 0.4231 0.0044 (multiplicity 1)  3 Mn 2.14-2.24
4 Se 0.7509 0.7398 0.6054 (multiplicity 1)  1 Mn 2.43, 2 Ga 2.56-2.64

Computed properties:
Calculated volume   68 Å³ per cell
Calculated density   5.69 g/cm3
Energy relative to the elements, uncorrected   -0.138 eV per atom

=====

4.
Below is a relaxed MnGaPSe crystal, with properties calculated at the PBE level.

a b c (Å): 3.7202 3.7202 18.4119
angles (deg): 90.00 90.00 120.00
Closest atoms and distances in Å follow each position.
Space group R3m (No. 160, hexagonal axes)
Inequivalent atoms, fractional coordinates:
1 Mn 0.0000 0.0000 0.0000 (multiplicity 3)  3 P 2.17, 1 Ga 2.39
2 Ga 0.0000 0.0000 0.8703 (multiplicity 3)  1 Mn 2.39, 3 Se 2.52
3 P 0.0000 0.0000 0.6495 (multiplicity 3)  3 Mn 2.17
4 Se 0.0000 0.0000 0.1322 (multiplicity 3)  1 Mn 2.43, 3 Ga 2.52

Computed properties:
Calculated volume   221 Å³ per cell
Calculated density   5.30 g/cm3
Energy relative to the elements, uncorrected   -0.292 eV per atom

=====

5.
Below is a relaxed MnGaPSe crystal, with properties calculated at the PBE level.

a b c (Å): 3.6108 3.6108 19.0100
angles (deg): 90.00 90.00 120.00
Closest atoms and distances in Å follow each position.
Space group R3m (No. 160, hexagonal axes)
Inequivalent atoms, fractional coordinates:
1 Mn 0.0000 0.0000 0.0000 (multiplicity 3)  3 P 2.45, 3 Se 2.57
2 Ga 0.0000 0.0000 0.4841 (multiplicity 3)  3 P 2.61, 3 Se 2.86
3 P 0.0000 0.0000 0.7345 (multiplicity 3)  3 Mn 2.45, 3 Ga 2.61
4 Se 0.0000 0.0000 0.2539 (multiplicity 3)  3 Mn 2.57, 3 Ga 2.86

Computed properties:
Calculated volume   215 Å³ per cell
Calculated density   5.44 g/cm3
Energy relative to the elements, uncorrected   -0.239 eV per atom

=====

6.
Below is a relaxed MnGaPSe crystal, with properties calculated at the PBE level.

a b c (Å): 8.2464 3.8490 4.5142
angles (deg): 90.00 91.10 90.00
Closest atoms and distances in Å follow each position.
Space group Cm (No. 8)
Inequivalent atoms, fractional coordinates:
1 Mn 0.0000 0.0000 0.0000 (multiplicity 2)  2 P 2.12
2 Ga 0.2894 0.0000 0.8453 (multiplicity 2)  3 Mn 2.50-2.68, 2 Se 2.62, 3 P 2.68-2.75
3 P 0.1013 0.5000 0.0693 (multiplicity 2)  2 Mn 2.12
4 Se 0.3857 0.5000 0.4976 (multiplicity 2)  2 Mn 2.44-2.45, 2 Ga 2.62

Computed properties:
Calculated volume   143 Å³ per cell
Calculated density   5.44 g/cm3
Energy relative to the elements, uncorrected   -0.018 eV per atom

=====

7.
Below is a relaxed MnGaPSe crystal, with properties calculated at the PBE level.

a b c (Å): 3.2998 3.2998 7.4913
angles (deg): 90.00 90.00 120.00
Closest atoms and distances in Å follow each position.
Space group P3m1 (No. 156)
Inequivalent atoms, fractional coordinates:
1 Mn 0.0000 0.0000 0.0000 (multiplicity 1)  3 P 2.31, 3 Se 2.45
2 Ga 0.0000 0.0000 0.4330 (multiplicity 1)  3 P 2.72
3 P 0.3333 0.6667 0.1739 (multiplicity 1)  3 Mn 2.31
4 Se 0.3333 0.6667 0.7947 (multiplicity 1)  3 Mn 2.45

Computed properties:
Calculated volume   71 Å³ per cell
Calculated density   5.51 g/cm3
Energy relative to the elements, uncorrected   -0.160 eV per atom

=====

8.
Below is a relaxed MnGaPSe crystal, with properties calculated at the PBE level.

a b c (Å): 2.8518 3.0449 8.1227
angles (deg): 79.32 89.90 90.00
Closest atoms and distances in Å follow each position.
Space group P1 (No. 1)
Inequivalent atoms, fractional coordinates:
1 Mn 0.0000 0.0000 0.0000 (multiplicity 1)  4 P 2.30, 2 Se 2.40
2 Ga 0.9950 0.1812 0.6315 (multiplicity 1)  4 Ga 2.85-3.04, 4 P 2.86-2.88, 1 Mn 2.94
3 P 0.5009 0.5603 0.8779 (multiplicity 1)  4 Mn 2.30
4 Se 0.4989 0.8806 0.2413 (multiplicity 1)  2 Mn 2.40

Computed properties:
Calculated volume   69 Å³ per cell
Calculated density   5.62 g/cm3
Energy relative to the elements, uncorrected   -0.110 eV per atom

=====

9.
Below is a relaxed MnGaPSe crystal, with properties calculated at the PBE level.

a b c (Å): 3.9472 5.8696 3.9735
angles (deg): 90.00 90.08 90.00
Closest atoms and distances in Å follow each position.
Space group P2 (No. 3)
Inequivalent atoms, fractional coordinates:
1 Mn 0.0000 0.0000 0.0000 (multiplicity 1)  2 P 2.41, 2 Se 2.55
2 Ga 0.5000 0.5450 0.5000 (multiplicity 1)  2 P 2.36, 2 Se 2.54
3 P 0.0000 0.7662 0.5000 (multiplicity 1)  2 Ga 2.36, 2 Mn 2.41
4 Se 0.5000 0.2760 0.0000 (multiplicity 1)  2 Ga 2.54, 2 Mn 2.55

Computed properties:
Calculated volume   92 Å³ per cell
Calculated density   4.23 g/cm3
Energy relative to the elements, uncorrected   -0.303 eV per atom

=====

10.
Below is a relaxed MnGaPSe crystal, with properties calculated at the PBE level.

a b c (Å): 16.0527 3.1233 2.7887
angles (deg): 90.00 90.42 90.00
Closest atoms and distances in Å follow each position.
Space group Cm (No. 8)
Inequivalent atoms, fractional coordinates:
1 Mn 0.0000 0.0000 0.0000 (multiplicity 2)  4 P 2.31-2.32, 2 Se 2.37-2.38
2 Ga 0.1924 0.0000 0.5703 (multiplicity 2)  2 P 2.63, 2 Ga 2.79
3 P 0.0612 0.5000 0.5051 (multiplicity 2)  4 Mn 2.31-2.32
4 Se 0.3803 0.5000 0.4964 (multiplicity 2)  2 Mn 2.37-2.38

Computed properties:
Calculated volume   140 Å³ per cell
Calculated density   5.57 g/cm3
Energy relative to the elements, uncorrected   -0.119 eV per atom

=====

11.
Below is a relaxed SrMnGaP crystal, with properties calculated at the PBE level.

a b c (Å): 3.7762 3.7762 11.6461
angles (deg): 90.00 90.00 90.00
Closest atoms and distances in Å follow each position.
Space group P4/nmm (No. 129, origin choice 2)
Inequivalent atoms, fractional coordinates:
1 Sr 0.2500 0.2500 0.2473 (multiplicity 2)  4 P 3.09, 4 Mn 3.44
2 Mn 0.2500 0.7500 0.0000 (multiplicity 2)  4 P 2.30
3 Ga 0.2500 0.7500 0.5000 (multiplicity 2)  4 Ga 2.67
4 P 0.2500 0.2500 0.8868 (multiplicity 2)  4 Mn 2.30

Computed properties:
Calculated volume   166 Å³ per cell
Calculated density   4.86 g/cm3
Formation enthalpy at 0 K   -0.580 eV/atom

=====

12.
Below is a relaxed YMnGa2P crystal, with properties calculated at the PBE level.

a b c (Å): 4.5924 4.5924 4.3166
angles (deg): 90.00 90.00 90.00
Closest atoms and distances in Å follow each position.
Space group P4/mmm (No. 123)
Inequivalent atoms, fractional coordinates:
1 Y 0.0000 0.0000 0.0000 (multiplicity 1)  8 Ga 3.15, 4 P 3.25
2 Mn 0.5000 0.5000 0.5000 (multiplicity 1)  2 P 2.16, 4 Ga 2.30
3 Ga 0.0000 0.5000 0.5000 (multiplicity 2)  2 Mn 2.30
4 P 0.5000 0.5000 0.0000 (multiplicity 1)  2 Mn 2.16

Computed properties:
Calculated volume   91 Å³ per cell
Calculated density   5.73 g/cm3
Formation enthalpy at 0 K   -0.204 eV/atom

=====

Record order is preserved below.
E: -5.418; -5.331; -5.411; -5.565; -5.512; -5.291; -5.433; -5.383; -5.576; -5.392; -5.402; -5.623 eV per atom